4
Lattice="5.0642 0.0000 0.0000 0.0000 5.0642 0.0000 0.0000 0.0000 4.2692" Properties=species:S:1:pos:R:3 comment="NaEr2In, optimized geometry, DFT PBE" space_group="No. 123" ef_ev_per_fu=-0.28 pbc="T T T"
Na 0.0000 0.0000 0.0000
Er 0.0000 2.5321 2.1346
Er 2.5321 0.0000 2.1346
In 2.5321 2.5321 0.0000